Record 1
Be3FeSi after structural relaxation. Source: the Alexandria database, functional PBE-GGA.

```
5
Lattice="-3.2393 0.1730 -2.2175 1.7467 -2.2275 -2.7253 -1.3770 -3.2324 1.7594" Properties=species:S:1:pos:R:3 pbc="T T T"
Be 0.8734 -1.1137 -1.3627
Fe 0.0000 0.0000 0.0000
Be -0.6885 -1.6162 0.8797
Be -1.6196 0.0865 -1.1087
Si -1.4348 -2.6435 -1.5917
```

Summary:
Crystal system: cubic
SG: Pm-3m, No. 221
Excess energy over the best structure of this formula in the dataset in meV per atom: 924

***

Record 2
CsNa2Sn2Br7 after structural relaxation. Source: the Alexandria database, functional PBE-GGA.

```
12
Lattice="5.9646 0.0000 0.0000 0.0000 5.9897 0.0002 -2.9823 -2.9945 12.0221" Properties=species:S:1:pos:R:3 pbc="T T T"
Sn 2.9823 2.9472 2.9258
Cs 0.0000 5.9850 0.0007
Na 0.0000 2.9824 6.0080
Na 2.9823 -0.0111 6.0138
Br 2.9823 2.9880 0.0001
Br 0.0000 3.0784 9.0977
Br 2.9823 2.9828 5.9146
Br 0.0000 2.9910 2.9274
Sn 0.0000 -0.0558 9.0958
Br 0.0000 -0.0138 6.1079
Br 2.9823 -0.0031 9.0947
Br 2.9823 0.0878 2.9249
```

Summary:
E in eV per atom: -3.1519
Crystal system: orthorhombic
SG: Imm2, No. 44

***

Record 3
BeHgCl3 after structural relaxation. Source: the Alexandria database, functional PBE-GGA.

```
5
Lattice="-1.7944 4.6371 -1.7227 -4.9386 -1.5736 0.9082 0.2852 1.9264 4.8886" Properties=species:S:1:pos:R:3 pbc="T T T"
Be -3.2239 2.4950 2.0370
Hg 0.0000 0.0000 0.0000
Cl 0.1426 0.9632 2.4443
Cl -0.8972 2.3186 -0.8613
Cl -2.4693 -0.7868 0.4541
```

Summary:
Crystal system: cubic
SG: Pm-3m, No. 221
Excess energy over the best structure of this formula in the dataset in meV per atom: 822

***

Record 4
MgSi after structural relaxation. Source: the Alexandria database, functional PBE-GGA.

```
24
Lattice="5.6822 -0.0055 -0.0355 0.1527 5.8972 0.0008 1.1859 2.9165 13.6889" Properties=species:S:1:pos:R:3 pbc="T T T"
Si 2.3998 4.6184 2.7405
Mg 3.9744 0.6564 1.9360
Mg 3.0753 5.9652 9.1448
Si 5.3150 8.5130 12.5398
Mg 4.0663 1.6838 6.4034
Mg 4.0535 3.6012 0.7361
Si 1.4996 7.2401 7.4811
Si 2.8843 2.5357 3.8775
Mg 1.1754 2.0826 1.8504
Mg 2.6993 2.9377 10.9768
Mg 5.4613 4.6225 10.6138
Mg 4.0959 4.8192 5.1217
Si 5.1966 2.4617 3.8954
Mg 1.2411 3.5384 5.8461
Si 3.7840 3.4019 8.4266
Mg 1.2326 4.9664 0.2123
Mg 1.3585 6.4408 4.7893
Si 5.7397 4.5830 2.7981
Si 6.6708 4.4657 13.2062
Si 5.5033 5.3187 7.6237
Si 3.6435 4.5349 13.1437
Mg 5.6518 7.5136 9.9154
Si 1.3070 3.5123 8.6392
Si 2.2162 6.0614 11.7620
```

Summary:
E in eV per atom: -3.4406
Crystal system: triclinic
SG: P1, No. 1

***

Record 5
Na3ZrN after structural relaxation. Source: the Alexandria database, functional PBE-GGA.

```
5
Lattice="4.7840 0.0000 0.0000 0.0000 4.7840 0.0000 0.0000 0.0000 4.7840" Properties=species:S:1:pos:R:3 pbc="T T T"
Na 2.3920 0.0000 0.0000
N 0.0000 0.0000 0.0000
Na 0.0000 2.3920 0.0000
Zr 2.3920 2.3920 2.3920
Na 0.0000 0.0000 2.3920
```

Summary:
Crystal system: cubic
SG: Pm-3m, No. 221
Excess energy over the best structure of this formula in the dataset in meV per atom: 0

***

Record 6
AlPtO2 after structural relaxation. Source: the Alexandria database, functional PBE-GGA.

```
4
Lattice="-1.4215 -1.0635 2.2057 2.7814 -0.4670 -0.2499 1.1810 5.2677 3.3009" Properties=species:S:1:pos:R:3 pbc="T T T"
O 2.3560 3.6859 3.2956
O 0.1391 -0.1527 1.8333
Al 1.1684 5.2115 3.2657
Pt 1.9761 1.9913 2.2337
```

Summary:
E in eV per atom: -6.5864
Crystal system: trigonal
SG: P3m1, No. 156

***

Record 7
BaVHgH2 after structural relaxation. Source: the Alexandria database, functional PBE-GGA.

```
5
Lattice="-1.9140 -3.6446 -1.6269 4.4997 -1.1557 -2.7047 1.4840 -2.3248 3.4622" Properties=species:S:1:pos:R:3 pbc="T T T"
Ba 2.0348 -3.5626 -0.4347
H 0.7420 -1.1624 1.7311
H -0.9570 -1.8223 -0.8135
Hg 2.2498 -0.5779 -1.3523
V 0.0000 0.0000 0.0000
```

Summary:
E in eV per atom: -3.3361
Crystal system: tetragonal
SG: P4/mmm, No. 123

***

Record 8
TbSmY2 after structural relaxation. Source: the Alexandria database, functional PBE-GGA.

```
4
Lattice="-0.6384 2.9885 1.8680 -2.6694 -1.6495 1.7266 6.5152 -3.0706 7.1393" Properties=species:S:1:pos:R:3 pbc="T T T"
Y 1.6149 -0.7611 1.7696
Sm 1.6037 -0.8658 5.3669
Tb -1.6539 0.6695 1.7973
Y 4.9003 -2.3095 5.3697
```

Summary:
Crystal system: tetragonal
Energy relative to the elements in eV/atom: 0.02
SG: P4/mmm, No. 123
Excess energy over the best structure of this formula in the dataset in meV per atom: 10